Here is PuPaI6 after structural relaxation from Alexandria. Energies are from PBE.

The space group is C2/m (No. 12) and the conventional cell measures 7.708, 14.215 and 7.696 Å, with angles of 90.00, 108.18 and 90.00 degrees. The distinct sites, in fractional coordinates, are Pu at (0.000, 0.000, 0.000), Pa at (0.000, 0.500, 0.500), I at (0.241, 0.348, 0.744) and I at (0.246, 0.500, 0.257).

For the formation energy (no corrections), the calculation gives -0.968 eV/atom. Its total energy is -5.109 eV per atom. For the volume, the calculation gives 50.07 Å³/atom.